DFT (meta-GGA SCAN) results for a crystal of MgTaMo2 relaxed with PBEsol.

Unit cell a=3.241 b=4.541 c=9.023 alpha=90.00 beta=90.00 gamma=90.00
Space group Imm2 (No. 44)
Unique sites:
Mg 0.000 0.000 0.000 x2
Ta 0.000 0.500 0.773 x2
Mo 0.000 0.000 0.519 x2
Mo 0.000 0.500 0.238 x2

Computed properties:
VASP energy in eV per atom: -35.128
Total magnetic moment in μB per cell: 0.00
Formation enthalpy at 0 K in eV/atom: 0.204

---

DFT (meta-GGA SCAN) results for a crystal of MgTaMo2 relaxed with PBEsol.

Unit cell a=2.705 b=4.559 c=5.414 alpha=90.00 beta=99.85 gamma=90.00
Space group Pm (No. 6)
Unique sites:
Mg 0.000 0.000 0.000 x1
Ta 0.276 0.500 0.735 x1
Mo 0.549 0.000 0.488 x1
Mo 0.761 0.500 0.259 x1

Computed properties:
VASP energy in eV per atom: -35.156
Total magnetic moment in μB per cell: 0.00
Formation enthalpy at 0 K in eV/atom: 0.176

---

DFT (meta-GGA SCAN) results for a crystal of MgTa2Mo relaxed with PBEsol.

Unit cell a=2.753 b=4.586 c=5.537 alpha=90.00 beta=99.62 gamma=90.00
Space group P2/m (No. 10)
Unique sites:
Mg 0.000 0.000 0.000 x1
Ta 0.272 0.500 0.735 x2
Mo 0.500 0.000 0.500 x1

Computed properties:
VASP energy in eV per atom: -43.101
Total magnetic moment in μB per cell: 0.00
Formation enthalpy at 0 K in eV/atom: 0.156

---

DFT (meta-GGA SCAN) results for a crystal of MgTa2Mo relaxed with PBEsol.

Unit cell a=3.320 b=4.547 c=9.169 alpha=90.00 beta=90.00 gamma=90.00
Space group Imm2 (No. 44)
Unique sites:
Mg 0.000 0.000 0.000 x2
Ta 0.000 0.000 0.472 x2
Ta 0.000 0.500 0.233 x2
Mo 0.000 0.500 0.751 x2

Computed properties:
VASP energy in eV per atom: -43.013
Total magnetic moment in μB per cell: 0.00
Formation enthalpy at 0 K in eV/atom: 0.243

---

DFT (meta-GGA SCAN) results for a crystal of MgTaMo2 relaxed with PBEsol.

Unit cell a=2.7994 b=2.7994 c=29.7626 alpha=90.00 beta=90.00 gamma=120.00
Space group R-3m (No. 166, hexagonal axes)
Unique sites:
Mg 0.0000 0.0000 0.0000 x3
Ta 0.0000 0.0000 0.5000 x3
Mo 0.0000 0.0000 0.2498 x6

Computed properties:
VASP energy in eV per atom: -34.917
Total magnetic moment in μB per cell: 0.00
Formation enthalpy at 0 K in eV/atom: 0.414

---

DFT (meta-GGA SCAN) results for a crystal of MgTaMo2 relaxed with PBEsol.

Unit cell a=3.924 b=3.924 c=4.241 alpha=90.00 beta=90.00 gamma=90.00
Space group P4/mmm (No. 123)
Unique sites:
Mg 0.000 0.000 0.000 x1
Ta 0.500 0.500 0.000 x1
Mo 0.000 0.500 0.500 x2

Computed properties:
VASP energy in eV per atom: -34.999
Total magnetic moment in μB per cell: 0.00
Formation enthalpy at 0 K in eV/atom: 0.333